1.
ScMoP2O | GGA-PBEsol | optimized geometry

Unit cell a=3.739 b=4.893 c=4.893 alpha=90.00 beta=90.00 gamma=90.00
Last column: magnetic moment on the atom in μB.
Sites, in units of the cell vectors:
P 0.000 0.500 0.000  -0.16
O 0.500 0.000 0.000  -0.02
Mo 0.500 0.500 0.500  2.56
Sc 0.000 0.000 0.000  -0.01
P 0.000 0.000 0.500  -0.16

Computed properties:
magnetic moment = 2.2 μB/f.u.
energy = -34.23 eV per formula unit

***

2.
SrMo3P2O14 | GGA-PBEsol | optimized geometry

Unit cell a=6.439 b=8.302 c=10.620 alpha=112.92 beta=90.00 gamma=90.00
Sites, in units of the cell vectors:
P 0.750 0.881 0.700
O 0.028 0.287 0.641
Mo 0.750 0.262 0.331
O 0.563 0.760 0.692
Mo 0.750 0.837 0.377
O 0.250 0.959 0.166
O 0.250 0.226 0.826
O 0.750 0.404 0.948
Mo 0.250 0.738 0.669
O 0.937 0.764 0.965
O 0.250 0.938 0.617
O 0.437 0.236 0.035
Sr 0.250 0.488 0.254
O 0.250 0.956 0.885
O 0.437 0.240 0.308
P 0.250 0.157 0.939
O 0.250 0.059 0.421
Mo 0.250 0.163 0.623
O 0.250 0.569 0.516
Mo 0.750 0.251 0.015
O 0.750 0.431 0.484
O 0.063 0.236 0.035
Mo 0.250 0.749 0.985
O 0.528 0.713 0.359
O 0.750 0.774 0.174
Sr 0.750 0.512 0.746
O 0.063 0.240 0.308
O 0.472 0.287 0.641
O 0.937 0.760 0.692
P 0.250 0.119 0.300
O 0.750 0.041 0.834
O 0.750 0.062 0.383
O 0.750 0.941 0.579
O 0.750 0.370 0.204
P 0.750 0.843 0.061
O 0.563 0.764 0.965
O 0.250 0.596 0.052
O 0.250 0.630 0.796
O 0.972 0.713 0.359
O 0.750 0.044 0.115

Computed properties:
magnetic moment = 0.0 μB/f.u.
energy = -166.74 eV per formula unit

***

3.
TcMoPO2 | GGA-PBEsol | optimized geometry

Unit cell a=3.675 b=3.675 c=5.246 alpha=90.00 beta=90.00 gamma=90.00
Last column: magnetic moment on the atom in μB.
Sites, in units of the cell vectors:
Tc 0.000 0.000 0.000  0.14
P 0.000 0.000 0.500  -0.06
O 0.000 0.500 0.000  0.04
O 0.500 0.000 0.000  0.04
Mo 0.500 0.500 0.500  2.64

Computed properties:
magnetic moment = 3.2 μB/f.u.
energy = -40.73 eV per formula unit

***

Q: Number 2 is which compound?
A: SrMo3P2O14

***

Q: Which of these has the lowest energy?
A: SrMo3P2O14

***

Please write out number 3 again, unchanged.
TcMoPO2 | GGA-PBEsol | optimized geometry

Unit cell a=3.675 b=3.675 c=5.246 alpha=90.00 beta=90.00 gamma=90.00
Last column: magnetic moment on the atom in μB.
Sites, in units of the cell vectors:
Tc 0.000 0.000 0.000  0.14
P 0.000 0.000 0.500  -0.06
O 0.000 0.500 0.000  0.04
O 0.500 0.000 0.000  0.04
Mo 0.500 0.500 0.500  2.64

Computed properties:
magnetic moment = 3.2 μB/f.u.
energy = -40.73 eV per formula unit